# 1
VASP calculation (GGA-PBE) on a geometry-optimized Mg5InPt structure.

Cell: 4.562 4.562 14.367 Å, 90.06 90.06 90.03°
Positions (direct):
1 Mg 0.000 0.000 0.250
2 Mg 0.000 0.000 0.750
3 Mg 0.001 0.500 0.101
4 Mg 0.001 0.500 0.399
5 Mg 0.500 0.001 0.601
6 Mg 0.500 0.001 0.899
7 Mg 0.500 0.999 0.101
8 Mg 0.500 0.999 0.399
9 Mg 0.999 0.500 0.601
10 Mg 0.999 0.500 0.899
11 In 0.500 0.500 0.250
12 In 0.500 0.500 0.750
13 Pt 0.000 0.000 0.000
14 Pt 0.000 0.000 0.500

## Properties
Calculated volume (Å³ per cell): 299.0
ΔH_f (0 K) (eV/atom): -0.379
Energy (eV/cell): -38.81
ρ (g cm⁻³): 4.8

---

# 2
VASP calculation (GGA-PBE) on a geometry-optimized MgInPt2 structure.

Cell: 4.609 4.609 4.609 Å, 60.00 60.00 60.00°
Positions (direct):
1 Mg 0.000 0.000 0.000
2 In 0.750 0.750 0.750
3 Pt 0.250 0.250 0.250
4 Pt 0.500 0.500 0.500

## Properties
Calculated volume (Å³ per cell): 69.2
ΔH_f (0 K) (eV/atom): -0.442
Energy (eV/cell): -18.18
ρ (g cm⁻³): 12.7

---

# 3
VASP calculation (GGA-PBE) on a geometry-optimized Mg8InPt2 structure.

Cell: 7.262 7.262 5.033 Å, 97.85 97.85 111.75°
Positions (direct):
1 Mg 0.115 0.115 0.798
2 Mg 0.172 0.438 0.419
3 Mg 0.248 0.752 0.000
4 Mg 0.438 0.172 0.419
5 Mg 0.562 0.828 0.581
6 Mg 0.752 0.248 0.000
7 Mg 0.828 0.562 0.581
8 Mg 0.885 0.885 0.202
9 In 0.500 0.500 0.000
10 Pt 0.183 0.817 0.500
11 Pt 0.817 0.183 0.500

## Properties
Calculated volume (Å³ per cell): 239.1
ΔH_f (0 K) (eV/atom): -0.411
Energy (eV/cell): -32.09
Energy above the most stable polymorph in this dataset (eV per formula unit): 0.00
ρ (g cm⁻³): 4.9

---

# 4
VASP calculation (GGA-PBE) on a geometry-optimized MgIn2Pt structure.

Cell: 4.277 4.270 4.338 Å, 90.00 92.12 90.00°
Positions (direct):
1 Mg 0.000 0.000 0.000
2 In 0.000 0.500 0.500
3 In 0.500 0.000 0.500
4 Pt 0.500 0.500 0.000

## Properties
Calculated volume (Å³ per cell): 79.2
ΔH_f (0 K) (eV/atom): -0.276
Energy (eV/cell): -14.22
ρ (g cm⁻³): 9.4